{"formula": "CaRe2PRh", "functional": "PBE", "state": "relaxed", "cell": [[4.549, 0.000, 0.000], [0.000, 4.697, 0.000], [0.000, 0.000, 4.549]], "species": ["Re", "Re", "Ca", "Rh", "P"], "frac_coords": [[0.000, 0.000, 0.500], [0.500, 0.000, 0.000], [0.000, 0.000, 0.000], [0.500, 0.500, 0.500], [0.000, 0.500, 0.000]], "formation_enthalpy_0k_ev_per_atom": 2.962, "energy_ev_per_atom": -4.970, "n_ef_per_ev_atom": 1.306, "total_magnetization_mub_per_fu": 0.15}

{"formula": "CaReP2S", "functional": "PBE", "state": "relaxed", "cell": [[-2.497, 0.032, -3.728], [-2.219, -3.618, 1.455], [-3.693, 3.271, 2.502]], "species": ["Re", "Ca", "S", "P", "P"], "frac_coords": [[0.000, 0.000, 0.000], [0.500, 0.500, 0.500], [0.000, 0.000, 0.500], [0.000, 0.500, 0.000], [0.500, 0.000, 0.000]], "energy_ev_per_atom": -6.103, "n_ef_per_ev_atom": 0.621, "total_magnetization_mub_per_fu": 0.07}

{"formula": "CaRePS2", "functional": "PBE", "state": "relaxed", "cell": [[-0.496, -4.773, 0.500], [0.577, -0.558, -4.758], [4.487, -0.405, 0.592]], "species": ["Re", "Ca", "S", "S", "P"], "frac_coords": [[0.000, 0.000, 0.000], [0.500, 0.500, 0.500], [0.000, 0.500, 0.000], [0.500, 0.000, 0.000], [0.000, 0.000, 0.500]], "energy_ev_per_atom": -5.915, "n_ef_per_ev_atom": 0.857, "total_magnetization_mub_per_fu": 0.72}

{"formula": "CaReP2S", "functional": "PBE", "state": "relaxed", "cell": [[5.141, 0.000, 0.000], [0.000, 5.141, 0.000], [0.000, 0.000, 4.983]], "species": ["Re", "Ca", "S", "P", "P"], "frac_coords": [[0.500, 0.500, 0.500], [0.000, 0.000, 0.000], [0.000, 0.000, 0.500], [0.000, 0.500, 0.000], [0.500, 0.000, 0.000]], "energy_ev_per_atom": -4.127, "n_ef_per_ev_atom": 0.847, "total_magnetization_mub_per_fu": 3.69}